# 1
VASP calculation (GGA-PBE) on a geometry-optimized YErAu structure.

Calculated values
Its total energy is -5.342 eV per atom. Its symmetry is No. 11. The calculation puts the formation enthalpy at 0 K at -574 meV/atom. As for the energy relative to the lowest polymorph listed for this composition: 0.000 eV/f.u.

Unit cell a=8.197 b=3.843 c=15.239 alpha=90.00 beta=91.82 gamma=90.00
Element x y z (fractional)
Y  0.016  0.250  0.293
Y  0.347  0.250  0.082
Y  0.459  0.250  0.385
Y  0.541  0.750  0.615
Y  0.653  0.750  0.918
Y  0.984  0.750  0.707
Er  0.018  0.250  0.910
Er  0.160  0.750  0.481
Er  0.363  0.250  0.787
Er  0.637  0.750  0.213
Er  0.840  0.250  0.519
Er  0.982  0.750  0.090
Au  0.233  0.250  0.613
Au  0.281  0.750  0.928
Au  0.283  0.750  0.247
Au  0.717  0.250  0.753
Au  0.719  0.250  0.072
Au  0.767  0.750  0.387

# 2
VASP calculation (GGA-PBE) on a geometry-optimized BaMg2Mo structure.

Calculated values
Its total energy is -3.249 eV per atom. Its symmetry is No. 225. The calculation puts the formation enthalpy at 0 K at 737 meV/atom. As for the energy relative to the lowest polymorph listed for this composition: 0.857 eV/f.u.

Unit cell a=5.325 b=5.325 c=5.325 alpha=60.00 beta=60.00 gamma=60.00
Element x y z (fractional)
Ba  0.000  0.000  0.000
Mg  0.250  0.250  0.250
Mg  0.750  0.750  0.750
Mo  0.500  0.500  0.500